No. 1
{
  "formula": "Ti6VBi",
  "functional": "PBE-GGA",
  "state": "relaxed",
  "total_magnetization_mub_per_fu": 0.0,
  "dos_ef_per_ev_atom": 1.34,
  "space_group": "Amm2 (38)",
  "formation_energy_mev_per_atom": 16,
  "e_tot_ev_per_atom": -7.530,
  "cell": [[4.461, 0.000, 0.000], [0.000, 3.358, 4.715], [0.000, -3.358, 4.715]],
  "species": ["Ti", "Ti", "Ti", "Ti", "Ti", "Ti", "V", "Bi"],
  "fractional_positions": [[0.000, 0.000, 0.000], [0.000, 0.537, 0.974], [0.000, 0.974, 0.537], [0.500, 0.298, 0.755], [0.500, 0.755, 0.298], [0.500, 0.792, 0.792], [0.000, 0.521, 0.521], [0.500, 0.267, 0.267]]
}

***

No. 2
{
  "formula": "Ti3VBi",
  "functional": "PBE-GGA",
  "state": "relaxed",
  "total_magnetization_mub_per_fu": 0.0,
  "dos_ef_per_ev_atom": 0.90,
  "space_group": "C2/c (15)",
  "formation_energy_mev_per_atom": 147,
  "polymorph_energy_mev_per_atom": 0,
  "e_tot_ev_per_atom": -7.190,
  "cell": [[6.820, -4.227, 0.000], [6.820, 4.227, 0.000], [-0.543, 0.000, 6.635]],
  "species": ["Ti", "Ti", "Ti", "Ti", "Ti", "Ti", "Ti", "Ti", "Ti", "Ti", "Ti", "Ti", "V", "V", "V", "V", "Bi", "Bi", "Bi", "Bi"],
  "fractional_positions": [[0.027, 0.187, 0.397], [0.116, 0.562, 0.943], [0.162, 0.483, 0.380], [0.187, 0.027, 0.897], [0.438, 0.884, 0.557], [0.483, 0.162, 0.880], [0.517, 0.838, 0.120], [0.562, 0.116, 0.443], [0.813, 0.973, 0.103], [0.838, 0.517, 0.620], [0.884, 0.438, 0.057], [0.973, 0.813, 0.603], [0.228, 0.255, 0.660], [0.255, 0.228, 0.160], [0.745, 0.772, 0.840], [0.772, 0.745, 0.340], [0.188, 0.812, 0.250], [0.402, 0.598, 0.750], [0.598, 0.402, 0.250], [0.812, 0.188, 0.750]]
}